Model i:
Compound: CaAsOsSe2
Source: Alexandria via LeMat-Bulk
Functional: PBE
Structure: relaxed

Cell lengths 5.2546, 5.2546, 5.3871 Å; angles 90.00, 90.00, 90.00 degrees
Space group P4/mmm (No. 123)
Unique sites:
Ca (0.0000, 0.0000, 0.0000) (multiplicity 1)
As (0.0000, 0.0000, 0.5000) (multiplicity 1)
Os (0.5000, 0.5000, 0.5000) (multiplicity 1)
Se (0.0000, 0.5000, 0.0000) (multiplicity 2)

Model ii:
Compound: CaAsOsSe2
Source: Alexandria via LeMat-Bulk
Functional: PBE
Structure: relaxed

Cell lengths 5.2093, 5.2093, 4.5890 Å; angles 90.00, 90.00, 90.00 degrees
Space group P4/mmm (No. 123)
Unique sites:
Ca (0.0000, 0.0000, 0.0000) (multiplicity 1)
As (0.5000, 0.5000, 0.0000) (multiplicity 1)
Os (0.5000, 0.5000, 0.5000) (multiplicity 1)
Se (0.0000, 0.5000, 0.5000) (multiplicity 2)

The calculated energies rank the structures as follows, beginning with the most stable: model ii, model i.

Model i:
Compound: CaAs2P2
Source: Alexandria via LeMat-Bulk
Functional: PBE
Structure: relaxed

Cell lengths 3.8788, 3.8788, 13.6778 Å; angles 90.00, 90.00, 90.00 degrees
Space group I4/mmm (No. 139)
Unique sites:
Ca (0.0000, 0.0000, 0.0000) (multiplicity 2)
As (0.0000, 0.0000, 0.4076) (multiplicity 4)
P (0.0000, 0.5000, 0.2500) (multiplicity 4)

Model ii:
Compound: CaAs2P2
Source: Alexandria via LeMat-Bulk
Functional: PBE
Structure: relaxed

Cell lengths 7.9238, 7.9238, 3.5104 Å; angles 90.00, 90.00, 90.00 degrees
Space group P4/mbm (No. 127)
Unique sites:
Ca (0.0000, 0.0000, 0.0000) (multiplicity 2)
As (0.1882, 0.3118, 0.5000) (multiplicity 4)
P (0.1701, 0.6701, 0.0000) (multiplicity 4)

The calculated energies rank the structures as follows, beginning with the most stable: model ii, model i.

Model i:
Compound: Ca3AsPb
Source: Alexandria via LeMat-Bulk
Functional: PBE
Structure: relaxed

Cell lengths 5.5594, 5.5594, 5.5594 Å; angles 90.00, 90.00, 90.00 degrees
Space group Pm-3m (No. 221)
Unique sites:
Ca (0.0000, 0.0000, 0.5000) (multiplicity 3)
As (0.0000, 0.0000, 0.0000) (multiplicity 1)
Pb (0.5000, 0.5000, 0.5000) (multiplicity 1)

Model ii:
Compound: Ca3AsPb
Source: Alexandria via LeMat-Bulk
Functional: PBE
Structure: relaxed

Cell lengths 5.8290, 5.8290, 5.8290 Å; angles 90.00, 90.00, 90.00 degrees
Space group Pm-3m (No. 221)
Unique sites:
Ca (0.0000, 0.0000, 0.5000) (multiplicity 3)
As (0.5000, 0.5000, 0.5000) (multiplicity 1)
Pb (0.0000, 0.0000, 0.0000) (multiplicity 1)

The calculated energies rank the structures as follows, beginning with the most stable: model i, model ii.